Density functional theory data (GGA-PBE) for an optimized crystal structure of CrSiSe2.

Calculated values
Its energy relative to the elements, uncorrected is 84 kJ/mol of formula units. Its volume is 90 Å³/f.u.

Geometry as CIF:
```
data_CrSiSe2
_symmetry_space_group_name_H-M 'P 1'
_symmetry_Int_Tables_number 1
_cell_length_a 3.587
_cell_length_b 6.919
_cell_length_c 3.613
_cell_angle_alpha 90.00
_cell_angle_beta 90.00
_cell_angle_gamma 90.00
loop_
_symmetry_equiv_pos_as_xyz
'x,y,z'
loop_
_atom_site_label
_atom_site_fract_x
_atom_site_fract_y
_atom_site_fract_z
Cr1 0.000 0.500 0.500
Se1 0.000 0.000 0.000
Se2 0.500 0.500 0.000
Si1 0.500 0.000 0.500
```